# NaGdTeO

Crystalline NaGdTeO at its relaxed geometry (GGA-PBE, the Open Quantum Materials Database).

a = 4.558 Å, b = 7.761 Å, c = 6.616 Å
α = 90.00°, β = 90.00°, γ = 90.00°
Space group Pmc2_1 (No. 26)
One atom of each set of equivalent atoms:
Na: 0.000 0.225 0.000
Gd: 0.500 0.385 0.382
Te: 0.000 0.178 0.534
O: 0.500 0.385 0.058

The calculation puts the energy above the most stable polymorph in this dataset at 182.6 meV/atom.



# NaGdTeO

Crystalline NaGdTeO at its relaxed geometry (GGA-PBE, the Open Quantum Materials Database).

a = 7.355 Å, b = 7.629 Å, c = 6.694 Å
α = 90.00°, β = 99.35°, γ = 90.00°
Space group P2_1/c (No. 14)
One atom of each set of equivalent atoms:
Na: 0.110 0.206 0.472
Gd: 0.466 0.625 0.782
Te: 0.197 0.575 0.350
O: 0.412 0.151 0.394

The calculation puts the energy above the most stable polymorph in this dataset at 16.7 meV/atom.